[1]
The following is a GGA-PBE calculation of a relaxed LaPmCdHg crystal, from Alexandria via LeMat-Bulk.

Volume: 116 Å³ per cell
Space group: No. 216
DFT formation energy: -0.40 eV per atom
Magnetization: 0.9 μB/cell

Unit cell a=5.4792 b=5.4792 c=5.4792 alpha=60.00 beta=60.00 gamma=60.00
Fractional coordinates of all 4 atoms:
La  0.0000  0.0000  0.0000
Pm  0.5000  0.5000  0.5000
Cd  0.7500  0.7500  0.7500
Hg  0.2500  0.2500  0.2500

---

[2]
The following is a GGA-PBE calculation of a relaxed LaPm2CdHg4 crystal, from Alexandria via LeMat-Bulk.

Volume: 218 Å³ per cell
Space group: No. 166
DFT formation energy: -0.43 eV per atom
Magnetization: 0.0 μB/cell

Unit cell a=9.7237 b=9.7237 c=9.7237 alpha=31.12 beta=31.12 gamma=31.12
Fractional coordinates of all 8 atoms:
La  0.0000  0.0000  0.0000
Pm  0.2386  0.2386  0.2386
Pm  0.7614  0.7614  0.7614
Cd  0.5000  0.5000  0.5000
Hg  0.1238  0.1238  0.1238
Hg  0.3768  0.3768  0.3768
Hg  0.6232  0.6232  0.6232
Hg  0.8762  0.8762  0.8762

---

[3]
The following is a GGA-PBE calculation of a relaxed LaPm2Cd2Hg2 crystal, from Alexandria via LeMat-Bulk.

Volume: 199 Å³ per cell
Space group: No. 166
DFT formation energy: -0.30 eV per atom
Magnetization: 0.0 μB/cell

Unit cell a=9.5908 b=9.5908 c=9.5908 alpha=30.33 beta=30.33 gamma=30.33
Fractional coordinates of all 7 atoms:
La  0.0000  0.0000  0.0000
Pm  0.1258  0.1258  0.1258
Pm  0.8742  0.8742  0.8742
Cd  0.2571  0.2571  0.2571
Cd  0.7429  0.7429  0.7429
Hg  0.4016  0.4016  0.4016
Hg  0.5984  0.5984  0.5984

---

[4]
The following is a GGA-PBE calculation of a relaxed LaPr2Cd2Hg2 crystal, from Alexandria via LeMat-Bulk.

Volume: 203 Å³ per cell
Space group: No. 166
DFT formation energy: -0.31 eV per atom
Magnetization: 0.0 μB/cell

Unit cell a=9.6814 b=9.6814 c=9.6814 alpha=30.16 beta=30.16 gamma=30.16
Fractional coordinates of all 7 atoms:
La  0.0000  0.0000  0.0000
Pr  0.1255  0.1255  0.1255
Pr  0.8745  0.8745  0.8745
Cd  0.2592  0.2592  0.2592
Cd  0.7408  0.7408  0.7408
Hg  0.3993  0.3993  0.3993
Hg  0.6007  0.6007  0.6007

---

[5]
The following is a GGA-PBE calculation of a relaxed LaPrCdHg crystal, from Alexandria via LeMat-Bulk.

Volume: 119 Å³ per cell
Space group: No. 216
DFT formation energy: -0.40 eV per atom
Magnetization: 0.9 μB/cell

Unit cell a=5.5147 b=5.5147 c=5.5147 alpha=60.00 beta=60.00 gamma=60.00
Fractional coordinates of all 4 atoms:
La  0.0000  0.0000  0.0000
Pr  0.5000  0.5000  0.5000
Cd  0.7500  0.7500  0.7500
Hg  0.2500  0.2500  0.2500

---

[6]
The following is a GGA-PBE calculation of a relaxed La4CdHg2Pt crystal, from Alexandria via LeMat-Bulk.

Volume: 228 Å³ per cell
Space group: No. 166
DFT formation energy: -0.62 eV per atom
Magnetization: 0.0 μB/cell

Unit cell a=9.3515 b=9.3515 c=9.3515 alpha=34.02 beta=34.02 gamma=34.02
Fractional coordinates of all 8 atoms:
La  0.1129  0.1129  0.1129
La  0.3663  0.3663  0.3663
La  0.6337  0.6337  0.6337
La  0.8871  0.8871  0.8871
Cd  0.5000  0.5000  0.5000
Hg  0.2379  0.2379  0.2379
Hg  0.7621  0.7621  0.7621
Pt  0.0000  0.0000  0.0000

---

Question: The highest volume belongs to which entry?
Answer: La4CdHg2Pt

---

Question: Which of these has the lowest DFT formation energy?
Answer: La4CdHg2Pt

---

Question: Which value of magnetization does entry 5 give?
Answer: 0.9 μB/cell